A relaxed Pm3ErIn4 crystal. Source: Alexandria via LeMat-Bulk, functional PBE.

Computed properties:
The calculation puts the formation enthalpy at 0 K at -0.49 eV per atom. Its space group is No. 123. Its total magnetic moment is 0.0 μB per formula unit. The volume comes out at 223 Å³ per cell.

a b c (Å): 3.8064 3.8064 15.3984
angles (deg): 90.00 90.00 90.00
Fractional positions:
1 Er 0.5000 0.5000 0.0000
2 In 0.0000 0.0000 0.8842
3 In 0.0000 0.0000 0.1158
4 In 0.0000 0.0000 0.3721
5 In 0.0000 0.0000 0.6279
6 Pm 0.5000 0.5000 0.2443
7 Pm 0.5000 0.5000 0.5000
8 Pm 0.5000 0.5000 0.7557

---

A relaxed PmEr2In crystal. Source: Alexandria via LeMat-Bulk, functional PBE.

Computed properties:
The calculation puts the formation enthalpy at 0 K at -0.26 eV per atom. The energy above the most stable polymorph in this dataset comes out at 0.0 meV per atom. Its space group is No. 123. Its total magnetic moment is 0.2 μB per formula unit. The volume comes out at 115 Å³ per cell.

a b c (Å): 4.8317 4.8708 4.8708
angles (deg): 90.00 90.00 90.00
Site moments in Bohr magnetons follow the coordinates.
Fractional positions:
1 Pm 0.5000 0.5000 0.5000  0.05
2 In 0.5000 0.0000 0.0000  0.00
3 Er 0.0000 0.0000 0.5000  0.06
4 Er 0.0000 0.5000 0.0000  0.06

---

A relaxed PmEr2In crystal. Source: Alexandria via LeMat-Bulk, functional PBE.

Computed properties:
The calculation puts the formation enthalpy at 0 K at -0.24 eV per atom. The energy above the most stable polymorph in this dataset comes out at 23.0 meV per atom. Its space group is No. 123. Its total magnetic moment is 0.0 μB per formula unit. The volume comes out at 118 Å³ per cell.

a b c (Å): 3.5939 3.5939 9.1343
angles (deg): 90.00 90.00 90.00
Fractional positions:
1 Pm 0.5000 0.5000 0.5000
2 In 0.5000 0.5000 0.0000
3 Er 0.0000 0.0000 0.7768
4 Er 0.0000 0.0000 0.2232

---

It is found that the raw total energy values, taken in the order of the records, are -4.207 -4.415 -4.392 eV/atom.